Record 1
# GGA-PBE SiIrS2, relaxed
data_SiIrS2
_symmetry_space_group_name_H-M 'R -3 m'
_symmetry_Int_Tables_number 166
_symmetry_space_group_name_Hall '-R 3 2"'
_cell_length_a 3.5343
_cell_length_b 3.5343
_cell_length_c 22.1937
_cell_angle_alpha 90.00
_cell_angle_beta 90.00
_cell_angle_gamma 120.00
loop_
_atom_site_label
_atom_site_fract_x
_atom_site_fract_y
_atom_site_fract_z
_atom_site_occupancy
Si1 0.0000 0.0000 0.0000 1
Ir1 0.0000 0.0000 0.5000 1
S1 0.0000 0.0000 0.1128 1
# Electronic total energy in eV/cell: -66.66
# D(E_F) in states/eV/f.u.: 1.50
# E_form (uncorrected) in kJ/mol of formula units: 31

=====

Record 2
# GGA-PBE Mg5Cu, relaxed
data_Mg5Cu
_symmetry_space_group_name_H-M 'P -6 2 m'
_symmetry_Int_Tables_number 189
_symmetry_space_group_name_Hall 'P -6 -2'
_cell_length_a 5.3157
_cell_length_b 5.3157
_cell_length_c 4.9081
_cell_angle_alpha 90.00
_cell_angle_beta 90.00
_cell_angle_gamma 120.00
loop_
_atom_site_label
_atom_site_fract_x
_atom_site_fract_y
_atom_site_fract_z
_atom_site_occupancy
Mg1 0.0000 0.6827 0.0000 1
Mg2 0.3333 0.6667 0.5000 1
Cu1 0.0000 0.0000 0.5000 1
# Electronic total energy in eV/cell: -11.96
# Polymorph energy (0 for the lowest one) in eV per formula unit: 0.18
# Formation energy from the elements in eV per formula unit: 0.10
# D(E_F) in states/eV/f.u.: 3.25

=====

Record 3
# GGA-PBE GdVMo2, relaxed
data_GdVMo2
_symmetry_space_group_name_H-M 'R -3 m'
_symmetry_Int_Tables_number 166
_symmetry_space_group_name_Hall '-R 3 2"'
_cell_length_a 2.9872
_cell_length_b 2.9872
_cell_length_c 28.5987
_cell_angle_alpha 90.00
_cell_angle_beta 90.00
_cell_angle_gamma 120.00
loop_
_atom_site_label
_atom_site_fract_x
_atom_site_fract_y
_atom_site_fract_z
_atom_site_occupancy
Gd1 0.0000 0.0000 0.0000 1
V1 0.0000 0.0000 0.5000 1
Mo1 0.0000 0.0000 0.0993 1
# Electronic total energy in eV/cell: -127.28
# Formation energy from the elements in eV per formula unit: 2.44
# D(E_F) in states/eV/f.u.: 4.46

=====

Record 4
# GGA-PBE Ca2SiAs2, relaxed
data_Ca2SiAs2
_symmetry_space_group_name_H-M 'P 4/m b m'
_symmetry_Int_Tables_number 127
_symmetry_space_group_name_Hall '-P 4 2ab'
_cell_length_a 7.2578
_cell_length_b 7.2578
_cell_length_c 4.3109
_cell_angle_alpha 90.00
_cell_angle_beta 90.00
_cell_angle_gamma 90.00
loop_
_atom_site_label
_atom_site_fract_x
_atom_site_fract_y
_atom_site_fract_z
_atom_site_occupancy
Ca1 0.1763 0.3237 0.0000 1
Si1 0.0000 0.0000 0.5000 1
As1 0.1299 0.6299 0.5000 1
# Electronic total energy in eV/cell: -43.61
# D(E_F) in states/eV/f.u.: 2.54
# E_form (uncorrected) in kJ/mol of formula units: -297

=====

Record 5
# GGA-PBE TlInSi4, relaxed
data_TlInSi4
_symmetry_space_group_name_H-M 'F -4 3 m'
_symmetry_Int_Tables_number 216
_symmetry_space_group_name_Hall 'F -4 2 3'
_cell_length_a 7.7918
_cell_length_b 7.7918
_cell_length_c 7.7918
_cell_angle_alpha 90.00
_cell_angle_beta 90.00
_cell_angle_gamma 90.00
loop_
_atom_site_label
_atom_site_fract_x
_atom_site_fract_y
_atom_site_fract_z
_atom_site_occupancy
Tl1 0.0000 0.0000 0.0000 1
In1 0.2500 0.2500 0.7500 1
Si1 0.1216 0.1216 0.3784 1
# Electronic total energy in eV/cell: -94.93
# D(E_F) in states/eV/f.u.: 4.86
# E_form (uncorrected) in kJ/mol of formula units: 296

=====

Record 6
# GGA-PBE TiSbRuO6, relaxed
data_TiSbRuO6
_symmetry_space_group_name_H-M 'P -3 1 c'
_symmetry_Int_Tables_number 163
_symmetry_space_group_name_Hall '-P 3 2c'
_cell_length_a 5.1641
_cell_length_b 5.1641
_cell_length_c 8.7050
_cell_angle_alpha 90.00
_cell_angle_beta 90.00
_cell_angle_gamma 120.00
loop_
_atom_site_label
_atom_site_fract_x
_atom_site_fract_y
_atom_site_fract_z
_atom_site_occupancy
Ti1 0.3333 0.6667 0.2500 1
Sb1 0.3333 0.6667 0.7500 1
Ru1 0.0000 0.0000 0.0000 1
O1 0.0073 0.3412 0.1290 1
# Electronic total energy in eV/cell: -131.46
# D(E_F) in states/eV/f.u.: 4.56
# E_form (uncorrected) in kJ/mol of formula units: -1417

=====

Record 7
# GGA-PBE Sm2SnPd5, relaxed
data_Sm2SnPd5
_symmetry_space_group_name_H-M 'I 4 m m'
_symmetry_Int_Tables_number 107
_symmetry_space_group_name_Hall 'I 4 -2'
_cell_length_a 6.3040
_cell_length_b 6.3040
_cell_length_c 8.0672
_cell_angle_alpha 90.00
_cell_angle_beta 90.00
_cell_angle_gamma 90.00
loop_
_atom_site_label
_atom_site_fract_x
_atom_site_fract_y
_atom_site_fract_z
_atom_site_occupancy
Sm1 0.0000 0.5000 0.0000 1
Sn1 0.0000 0.0000 0.3627 1
Pd1 0.0000 0.0000 0.0081 1
Pd2 0.2194 0.2194 0.7398 1
# Electronic total energy in eV/cell: -90.64
# Formation energy from the elements in eV per formula unit: -5.92
# D(E_F) in states/eV/f.u.: 2.42

=====

Record 8
# GGA-PBE ZnReSe, relaxed
data_ZnReSe
_symmetry_space_group_name_H-M 'I 4 m m'
_symmetry_Int_Tables_number 107
_symmetry_space_group_name_Hall 'I 4 -2'
_cell_length_a 3.0220
_cell_length_b 3.0220
_cell_length_c 11.9146
_cell_angle_alpha 90.00
_cell_angle_beta 90.00
_cell_angle_gamma 90.00
loop_
_atom_site_label
_atom_site_fract_x
_atom_site_fract_y
_atom_site_fract_z
_atom_site_occupancy
Zn1 0.0000 0.0000 0.0000 1
Re1 0.0000 0.0000 0.6422 1
Se1 0.0000 0.0000 0.2596 1
# Electronic total energy in eV/cell: -33.00
# Polymorph energy (0 for the lowest one) in eV per formula unit: 0.22
# D(E_F) in states/eV/f.u.: 1.68
# E_form (uncorrected) in kJ/mol of formula units: 68

=====

Record 9
# GGA-PBE Tb4PmNd, relaxed
data_Tb4PmNd
_symmetry_space_group_name_H-M 'P -1'
_symmetry_Int_Tables_number 2
_symmetry_space_group_name_Hall '-P 1'
_cell_length_a 3.5949
_cell_length_b 6.2290
_cell_length_c 9.5143
_cell_angle_alpha 109.09
_cell_angle_beta 100.86
_cell_angle_gamma 90.08
loop_
_atom_site_label
_atom_site_fract_x
_atom_site_fract_y
_atom_site_fract_z
_atom_site_occupancy
Tb1 0.1677 0.0009 0.3364 1
Tb2 0.3324 0.4991 0.6639 1
Pm1 0.0000 0.5000 0.0000 1
Nd1 0.5000 0.0000 0.0000 1
# Electronic total energy in eV/cell: -27.95
# Polymorph energy (0 for the lowest one) in eV per formula unit: 0.00
# Formation energy from the elements in eV per formula unit: 0.09
# D(E_F) in states/eV/f.u.: 8.11

=====

Question: Which formula does entry 8 have?
Answer: ZnReSe

=====

Question: What is the D(E_F) in the fifth record?
Answer: 4.86 states/eV/f.u.